1.
Density functional theory data (PBE-GGA) for an optimized crystal structure of MgTeBr.

Results
**Distance to the lowest polymorph of the same formula**: 0.458 eV/atom
**DFT total energy**: -7.69 eV for the cell shown
**Magnetic moment**: 0.007 μB/cell

Cell: 4.9921 4.9921 4.9921 Å, 60.00 60.00 60.00°
With the nearest neighbours (Å) after each atom.
Fractional positions:
Te 0.0000 0.0000 0.0000  4 Mg 3.06
Mg 0.2500 0.2500 0.2500  4 Br 3.06, 4 Te 3.06
Br 0.5000 0.5000 0.5000  4 Mg 3.06

***

2.
Density functional theory data (PBE-GGA) for an optimized crystal structure of MgTeBr2.

Results
**Distance to the lowest polymorph of the same formula**: 0.776 eV/atom
**DFT total energy**: -8.34 eV for the cell shown
**Magnetic moment**: 0.000 μB/cell

Cell: 5.6013 5.6013 3.5401 Å, 90.00 90.00 105.71°
With the nearest neighbours (Å) after each atom.
Fractional positions:
Mg 0.5000 0.0000 0.5000  8 Br 3.31, 2 Te 3.38, 2 Mg 3.54
Te 0.0000 0.5000 0.5000  8 Br 3.31, 2 Mg 3.38, 2 Te 3.54
Br 0.0000 0.0000 0.0000  4 Mg 3.31, 4 Te 3.31, 4 Br 3.38-3.54
Br 0.5000 0.5000 0.0000  4 Te 3.31, 4 Mg 3.31, 4 Br 3.38-3.54

***

3.
Density functional theory data (PBE-GGA) for an optimized crystal structure of Mg2TeBr.

Results
**Distance to the lowest polymorph of the same formula**: 0.200 eV/atom
**DFT total energy**: -10.07 eV for the cell shown
**Magnetic moment**: 0.000 μB/cell

Cell: 4.2784 4.2784 7.9386 Å, 90.00 90.00 121.58°
With the nearest neighbours (Å) after each atom.
Fractional positions:
Mg 0.0000 0.0000 0.0116  2 Te 2.82, 2 Br 2.94
Te 0.5000 0.5000 0.2500  4 Mg 2.82
Mg 0.0000 0.0000 0.4884  2 Te 2.82, 2 Br 2.94
Br 0.5000 0.5000 0.7500  4 Mg 2.94

***

4.
Density functional theory data (PBE-GGA) for an optimized crystal structure of MgTeBr2.

Results
**Distance to the lowest polymorph of the same formula**: 0.173 eV/atom
**DFT total energy**: -10.75 eV for the cell shown
**Magnetic moment**: 0.000 μB/cell

Cell: 3.3976 3.3976 12.2497 Å, 90.00 90.00 107.02°
With the nearest neighbours (Å) after each atom.
Fractional positions:
Br 0.0000 0.0000 0.1117  2 Mg 2.64
Mg 0.5000 0.5000 0.2500  4 Br 2.64
Br 0.0000 0.0000 0.3883  2 Mg 2.64
Te 0.5000 0.5000 0.7500  4 Te 3.40

***

no.,N(E_F) (states/eV/f.u.)
1,4.84
2,2.38
3,1.24
4,1.41